No. 1
IrNF2 | GGA-PBEsol | optimized geometry

Cell and atoms, written as POSCAR:
```
IrNF2
1.0
-1.110 1.362 3.172
-5.696 1.185 -0.430
-1.753 -4.433 3.363
N Ir F
2 2 4
Cartesian
-0.555 0.681 1.586
-4.002 -1.284 2.259
0.000 0.000 0.000
-4.558 -0.603 3.845
-2.490 -0.110 3.839
-6.347 -1.436 3.058
-4.263 -2.239 5.169
-5.129 1.374 3.314
```

Summary:
VASP energy, eV per atom: -5.81
E_form (uncorrected), eV/atom: -0.26
Mass density, g cm⁻³: 7.27


No. 2
AsPt2Au | GGA-PBEsol | optimized geometry

Cell and atoms, written as POSCAR:
```
AsPt2Au
1.0
-1.578 3.693 0.586
-3.466 -1.683 1.275
3.862 -1.009 2.707
As Au Pt
1 1 2
Cartesian
-2.522 1.005 0.930
0.000 0.000 0.000
-0.119 1.844 2.111
-1.063 -0.844 2.456
```

Summary:
VASP energy, eV per atom: -5.69
Mass density, g cm⁻³: 17.22


No. 3
FeSbPb3 | GGA-PBEsol | optimized geometry

Cell and atoms, written as POSCAR:
```
FeSbPb3
1.0
5.052 0.000 0.000
0.000 5.052 0.000
0.000 0.000 5.052
Pb Sb Fe
3 1 1
Cartesian
0.000 2.526 0.000
0.000 0.000 2.526
2.526 0.000 0.000
2.526 2.526 2.526
0.000 0.000 0.000
```

Summary:
VASP energy, eV per atom: -4.80
E_form (uncorrected), eV/atom: 0.30
Energy relative to the lowest polymorph listed for this composition, meV/atom: 0
Mass density, g cm⁻³: 10.29


No. 4
Ti3HgOs | GGA-PBEsol | optimized geometry

Cell and atoms, written as POSCAR:
```
Ti3HgOs
1.0
-1.265 1.301 -4.327
-4.515 -0.539 1.158
-0.176 4.476 1.398
Os Hg Ti
1 1 3
Cartesian
0.000 0.000 0.000
-2.978 2.619 -0.886
-2.258 -0.270 0.579
-0.088 2.238 0.699
-0.632 0.651 -2.164
```

Summary:
VASP energy, eV per atom: -7.11
Energy relative to the lowest polymorph listed for this composition, meV/atom: 0
Mass density, g cm⁻³: 8.59


No. 5
ZrZnPb3 | GGA-PBEsol | optimized geometry

Cell and atoms, written as POSCAR:
```
ZrZnPb3
1.0
-1.679 3.289 4.178
-4.121 -3.573 1.157
3.360 -2.739 3.506
Pb Zn Zr
3 1 1
Cartesian
-2.060 -1.787 0.579
1.680 -1.370 1.753
-0.839 1.644 2.089
-1.220 -1.512 4.421
0.000 0.000 0.000
```

Summary:
VASP energy, eV per atom: -3.99
Mass density, g cm⁻³: 7.46


No. 6
TaPbSe | GGA-PBEsol | optimized geometry

Cell and atoms, written as POSCAR:
```
TaPbSe
1.0
3.314 0.000 0.000
-1.657 2.870 0.000
0.000 0.000 7.022
Pb Se Ta
1 1 1
Cartesian
0.000 0.000 0.163
1.657 0.957 4.264
0.000 1.913 2.595
```

Summary:
VASP energy, eV per atom: -7.03
E_form (uncorrected), eV/atom: -0.23
Mass density, g cm⁻³: 11.62


Q: Which value of VASP energy does entry 2 give?
A: -5.69 eV per atom